Entry 1:
Material: Sm2Co7
Method: DFT, meta-GGA SCAN
State: PBEsol geometry

Properties
- Calculated volume: 124.8 Å³/f.u.
- Formation enthalpy at 0 K: -0.014 eV per atom
- Calculated total energy: -23.35 eV per atom
- DOS(E_F): 0.97 states/eV/atom

Unit cell a=4.9128 b=4.9128 c=23.8923 alpha=90.00 beta=90.00 gamma=120.00
Space group P6_3/mmc (No. 194)
Unique sites:
Sm  0.3333  0.6667  0.0276
Sm  0.3333  0.6667  0.1727
Co  0.0000  0.0000  0.0000
Co  0.0000  0.0000  0.1681
Co  0.1657  0.3314  0.5876
Co  0.1662  0.3324  0.7500
Co  0.3333  0.6667  0.6683


Entry 2:
Material: SmCo2
Method: DFT, meta-GGA SCAN
State: PBEsol geometry

Properties
- Calculated volume: 44.4 Å³/f.u.
- Formation enthalpy at 0 K: -0.025 eV per atom
- Calculated total energy: -26.38 eV per atom
- DOS(E_F): 0.98 states/eV/atom

Unit cell a=7.083 b=7.083 c=7.083 alpha=90.00 beta=90.00 gamma=90.00
Space group Fd-3m (No. 227, origin choice 2)
Unique sites:
Sm  0.125  0.125  0.125
Co  0.000  0.000  0.500


Entry 3:
Material: Sm3Co
Method: DFT, meta-GGA SCAN
State: PBEsol geometry

Properties
- Calculated volume: 102.4 Å³/f.u.
- Formation enthalpy at 0 K: -0.045 eV per atom
- Calculated total energy: -37.70 eV per atom
- DOS(E_F): 1.02 states/eV/atom

Unit cell a=6.899 b=9.549 c=6.217 alpha=90.00 beta=90.00 gamma=90.00
Space group Pnma (No. 62)
Unique sites:
Sm  0.043  0.250  0.145
Sm  0.172  0.068  0.675
Co  0.115  0.750  0.441


Entry 4:
Material: Sm5Co2
Method: DFT, meta-GGA SCAN
State: PBEsol geometry

Properties
- Calculated volume: 172.8 Å³/f.u.
- Formation enthalpy at 0 K: -0.051 eV per atom
- Calculated total energy: -36.74 eV per atom
- DOS(E_F): 0.96 states/eV/atom

Unit cell a=16.102 b=6.294 c=6.864 alpha=90.00 beta=96.41 gamma=90.00
Space group C2/c (No. 15)
Unique sites:
Sm  0.000  0.070  0.250
Sm  0.094  0.393  0.915
Sm  0.215  0.069  0.317
Co  0.110  0.208  0.573


Entry 5:
Material: Sm12Co6Sn
Method: DFT, meta-GGA SCAN
State: PBEsol geometry

Properties
- Calculated volume: 455.4 Å³/f.u.
- Formation enthalpy at 0 K: -0.165 eV per atom
- Calculated total energy: -35.59 eV per atom
- DOS(E_F): 0.41 states/eV/atom

Unit cell a=9.694 b=9.694 c=9.694 alpha=90.00 beta=90.00 gamma=90.00
Space group Im-3 (No. 204)
Unique sites:
Sm  0.000  0.304  0.194
Co  0.000  0.112  0.500
Sn  0.000  0.000  0.000


Entry 6:
Material: SmYCo4
Method: DFT, meta-GGA SCAN
State: PBEsol geometry

Properties
- Calculated volume: 88.3 Å³/f.u.
- Formation enthalpy at 0 K: -0.065 eV per atom
- Calculated total energy: -23.65 eV per atom
- DOS(E_F): 0.94 states/eV/atom

Unit cell a=7.068 b=7.068 c=7.068 alpha=90.00 beta=90.00 gamma=90.00
Space group F-43m (No. 216)
Unique sites:
Sm  0.000  0.000  0.000
Y  0.250  0.250  0.250
Co  0.125  0.125  0.625


Entry 7:
Material: CoSn2
Method: DFT, meta-GGA SCAN
State: PBEsol geometry

Properties
- Calculated volume: 53.0 Å³/f.u.
- Formation enthalpy at 0 K: 0.118 eV per atom
- Calculated total energy: -29.60 eV per atom
- DOS(E_F): 0.43 states/eV/atom

Unit cell a=6.259 b=6.259 c=5.408 alpha=90.00 beta=90.00 gamma=90.00
Space group I4/mcm (No. 140)
Unique sites:
Co  0.000  0.000  0.250
Sn  0.166  0.334  0.000


Entry 8:
Material: CoSn
Method: DFT, meta-GGA SCAN
State: PBEsol geometry

Properties
- Calculated volume: 32.7 Å³/f.u.
- Formation enthalpy at 0 K: 0.040 eV per atom
- Calculated total energy: -26.57 eV per atom
- DOS(E_F): 0.38 states/eV/atom

Unit cell a=5.2160 b=5.2160 c=4.1575 alpha=90.00 beta=90.00 gamma=120.00
Space group P6/mmm (No. 191)
Unique sites:
Co  0.0000  0.5000  0.0000
Sn  0.0000  0.0000  0.0000
Sn  0.3333  0.6667  0.5000


Entry 9:
Material: Sr3CoSn
Method: DFT, meta-GGA SCAN
State: PBEsol geometry

Properties
- Calculated volume: 238.3 Å³/f.u.
- Formation enthalpy at 0 K: 0.478 eV per atom
- Calculated total energy: -23.53 eV per atom
- DOS(E_F): 1.73 states/eV/atom

Unit cell a=6.200 b=6.200 c=6.200 alpha=90.00 beta=90.00 gamma=90.00
Space group Pm-3m (No. 221)
Unique sites:
Sr  0.000  0.000  0.500
Co  0.500  0.500  0.500
Sn  0.000  0.000  0.000


Entry 10:
Material: Tb3Co8Sn4
Method: DFT, meta-GGA SCAN
State: PBEsol geometry

Properties
- Calculated volume: 243.3 Å³/f.u.
- Formation enthalpy at 0 K: -0.268 eV per atom
- Calculated total energy: -28.43 eV per atom
- DOS(E_F): 0.87 states/eV/atom

Unit cell a=8.7466 b=8.7466 c=7.3445 alpha=90.00 beta=90.00 gamma=120.00
Space group P6_3mc (No. 186)
Unique sites:
Tb  0.0599  0.5300  0.0000
Co  0.0000  0.0000  0.2768
Co  0.0971  0.1942  0.0217
Co  0.1587  0.3173  0.3324
Co  0.3333  0.6667  0.7120
Sn  0.1709  0.3417  0.7021
Sn  0.3333  0.6667  0.3361


Entry 11:
Material: CoTcSn2
Method: DFT, meta-GGA SCAN
State: PBEsol geometry

Properties
- Calculated volume: 63.4 Å³/f.u.
- Formation enthalpy at 0 K: 0.326 eV per atom
- Calculated total energy: -30.73 eV per atom
- DOS(E_F): 0.49 states/eV/atom

Unit cell a=6.330 b=6.330 c=6.330 alpha=90.00 beta=90.00 gamma=90.00
Space group Fm-3m (No. 225)
Unique sites:
Co  0.000  0.000  0.000
Tc  0.000  0.000  0.500
Sn  0.250  0.250  0.250


Entry 12:
Material: CoTcSn3
Method: DFT, meta-GGA SCAN
State: PBEsol geometry

Properties
- Calculated volume: 107.3 Å³/f.u.
- Formation enthalpy at 0 K: 0.863 eV per atom
- Calculated total energy: -31.16 eV per atom
- DOS(E_F): 0.87 states/eV/atom

Unit cell a=4.752 b=4.752 c=4.752 alpha=90.00 beta=90.00 gamma=90.00
Space group Pm-3m (No. 221)
Unique sites:
Co  0.000  0.000  0.000
Tc  0.500  0.500  0.500
Sn  0.000  0.000  0.500


Entry 13:
Material: Co2Sn3Te3
Method: DFT, meta-GGA SCAN
State: PBEsol geometry

Properties
- Calculated volume: 184.7 Å³/f.u.
- Energy relative to the elements, uncorrected: -0.227 eV per atom
- Calculated total energy: -31.99 eV per atom

Unit cell a=12.7858 b=12.7858 c=15.6520 alpha=90.00 beta=90.00 gamma=120.00
Space group R-3 (No. 148, hexagonal axes)
Unique sites:
Co  0.0000  0.0000  0.2467
Co  0.0005  0.5026  0.7544
Sn  0.0051  0.8415  0.6614
Sn  0.0504  0.7817  0.9486
Te  0.0102  0.1733  0.8339
Te  0.0554  0.6058  0.1057


Entry 14:
Material: Ti2Co3Sn2
Method: DFT, meta-GGA SCAN
State: PBEsol geometry

Properties
- Calculated volume: 102.9 Å³/f.u.
- Formation enthalpy at 0 K: -0.407 eV per atom
- Calculated total energy: -22.67 eV per atom
- DOS(E_F): 0.60 states/eV/atom

Unit cell a=4.1892 b=4.1892 c=20.3211 alpha=90.00 beta=90.00 gamma=120.00
Space group R3m (No. 160, hexagonal axes)
Unique sites:
Ti  0.0000  0.0000  0.0000
Ti  0.0000  0.0000  0.4933
Co  0.0000  0.0000  0.3684
Co  0.0000  0.0000  0.6213
Co  0.0000  0.0000  0.8747
Sn  0.0000  0.0000  0.2411
Sn  0.0000  0.0000  0.7498


Entry 15:
Material: Tl3CoSn
Method: DFT, meta-GGA SCAN
State: PBEsol geometry

Properties
- Calculated volume: 176.6 Å³/f.u.
- Formation enthalpy at 0 K: 0.944 eV per atom
- Calculated total energy: -53.12 eV per atom
- DOS(E_F): 0.58 states/eV/atom

Unit cell a=5.610 b=5.610 c=5.610 alpha=90.00 beta=90.00 gamma=90.00
Space group Pm-3m (No. 221)
Unique sites:
Tl  0.000  0.000  0.500
Co  0.500  0.500  0.500
Sn  0.000  0.000  0.000


Entry 16:
Material: Tl2CoSn
Method: DFT, meta-GGA SCAN
State: PBEsol geometry

Properties
- Calculated volume: 88.1 Å³/f.u.
- Formation enthalpy at 0 K: 0.722 eV per atom
- Calculated total energy: -48.76 eV per atom
- DOS(E_F): 1.01 states/eV/atom

Unit cell a=7.064 b=7.064 c=7.064 alpha=90.00 beta=90.00 gamma=90.00
Space group Fm-3m (No. 225)
Unique sites:
Tl  0.250  0.250  0.250
Co  0.000  0.000  0.000
Sn  0.000  0.000  0.500


Entry 17:
Material: Tm6Co2Sn
Method: DFT, meta-GGA SCAN
State: PBEsol geometry

Properties
- Calculated volume: 205.0 Å³/f.u.
- Formation enthalpy at 0 K: -0.360 eV per atom
- Calculated total energy: -42.75 eV per atom
- DOS(E_F): 0.59 states/eV/atom

Unit cell a=9.111 b=9.330 c=9.648 alpha=90.00 beta=90.00 gamma=90.00
Space group Immm (No. 71)
Unique sites:
Tm  0.000  0.209  0.237
Tm  0.188  0.500  0.176
Tm  0.216  0.316  0.500
Co  0.000  0.342  0.000
Co  0.000  0.500  0.385
Sn  0.000  0.000  0.000
Sn  0.000  0.000  0.500


Entry 18:
Material: TmCo2Sn
Method: DFT, meta-GGA SCAN
State: PBEsol geometry

Properties
- Calculated volume: 61.5 Å³/f.u.
- Formation enthalpy at 0 K: -0.297 eV per atom
- Calculated total energy: -30.89 eV per atom
- DOS(E_F): 0.60 states/eV/atom

Unit cell a=6.267 b=6.267 c=6.267 alpha=90.00 beta=90.00 gamma=90.00
Space group Fm-3m (No. 225)
Unique sites:
Tm  0.000  0.000  0.000
Co  0.250  0.250  0.250
Sn  0.000  0.000  0.500


Entry 19:
Material: TmCoSn
Method: DFT, meta-GGA SCAN
State: PBEsol geometry

Properties
- Calculated volume: 55.7 Å³/f.u.
- Formation enthalpy at 0 K: -0.459 eV per atom
- Calculated total energy: -35.48 eV per atom
- DOS(E_F): 0.66 states/eV/atom

Unit cell a=6.764 b=4.326 c=7.612 alpha=90.00 beta=90.00 gamma=90.00
Space group Pnma (No. 62)
Unique sites:
Tm  0.019  0.250  0.189
Co  0.226  0.750  0.398
Sn  0.170  0.250  0.575


Entry 20:
Material: CoSnW3
Method: DFT, meta-GGA SCAN
State: PBEsol geometry

Properties
- Calculated volume: 88.3 Å³/f.u.
- Formation enthalpy at 0 K: 1.426 eV per atom
- Calculated total energy: -51.03 eV per atom
- DOS(E_F): 0.74 states/eV/atom

Unit cell a=4.453 b=4.453 c=4.453 alpha=90.00 beta=90.00 gamma=90.00
Space group Pm-3m (No. 221)
Unique sites:
Co  0.000  0.000  0.000
Sn  0.500  0.500  0.500
W  0.000  0.000  0.500